# 1
First-principles (PBE) data for a relaxed NaSmBi2S4 crystal, as listed in Alexandria via LeMat-Bulk.

Values from the calculation:
- SG: P2/m
- Raw formation energy: -691 kJ/mol of formula units
- Calculated volume: 26.9 A^3/atom
- Density: 5.54 g/cm³

a b c (Å): 7.437 3.981 7.706
angles (deg): 90.00 109.14 90.00
Fractional coordinates of all 8 atoms:
Na  0.000  0.000  0.000
Sm  0.500  0.500  0.500
Bi  0.000  0.000  0.500
Bi  0.500  0.500  0.000
S  0.111  0.500  0.294
S  0.396  0.000  0.715
S  0.604  0.000  0.285
S  0.889  0.500  0.706

=====

# 2
First-principles (PBE) data for a relaxed Tb2Cu2Rh crystal, as listed in Alexandria via LeMat-Bulk.

Values from the calculation:
- SG: P4/mnc
- Calculated volume: 19.5 A^3/atom
- Density: 9.33 g/cm³
- ΔH_f (0 K): -0.346 eV/atom
- Distance to the lowest polymorph of the same formula: 0.096 eV per atom

a b c (Å): 7.064 7.064 7.818
angles (deg): 90.00 90.00 90.00
Fractional coordinates of all 20 atoms:
Tb  0.180  0.311  0.000
Tb  0.189  0.320  0.500
Tb  0.311  0.820  0.000
Tb  0.320  0.811  0.500
Tb  0.680  0.189  0.500
Tb  0.689  0.180  0.000
Tb  0.811  0.680  0.500
Tb  0.820  0.689  0.000
Cu  0.121  0.621  0.250
Cu  0.121  0.621  0.750
Cu  0.379  0.121  0.250
Cu  0.379  0.121  0.750
Cu  0.621  0.879  0.250
Cu  0.621  0.879  0.750
Cu  0.879  0.379  0.250
Cu  0.879  0.379  0.750
Rh  0.000  0.000  0.217
Rh  0.000  0.000  0.783
Rh  0.500  0.500  0.283
Rh  0.500  0.500  0.717

=====

# 3
First-principles (PBE) data for a relaxed La2PmGe3Rh4 crystal, as listed in Alexandria via LeMat-Bulk.

Values from the calculation:
- SG: P-4m2
- Calculated volume: 20.5 A^3/atom
- Density: 8.54 g/cm³
- ΔH_f (0 K): -0.871 eV/atom

a b c (Å): 4.254 4.254 11.302
angles (deg): 90.00 90.00 90.00
Fractional coordinates of all 10 atoms:
La  0.000  0.500  0.230
La  0.500  0.000  0.770
Pm  0.000  0.000  0.500
Ge  0.000  0.500  0.882
Ge  0.500  0.000  0.118
Ge  0.500  0.500  0.500
Rh  0.000  0.000  0.000
Rh  0.000  0.500  0.663
Rh  0.500  0.000  0.337
Rh  0.500  0.500  0.000

=====

# 4
First-principles (PBE) data for a relaxed CsTl10Pb2 crystal, as listed in Alexandria via LeMat-Bulk.

Values from the calculation:
- SG: Fmmm
- Calculated volume: 34.1 A^3/atom
- Density: 9.72 g/cm³
- ΔH_f (0 K): -0.020 eV/atom

a b c (Å): 11.590 9.052 8.613
angles (deg): 81.96 50.66 47.38
Fractional coordinates of all 13 atoms:
Cs  0.000  0.000  0.000
Tl  0.000  0.000  0.500
Tl  0.000  0.359  0.641
Tl  0.000  0.641  0.359
Tl  0.281  0.498  0.502
Tl  0.359  0.000  0.000
Tl  0.498  0.281  0.719
Tl  0.500  0.500  0.000
Tl  0.502  0.719  0.281
Tl  0.641  0.000  0.000
Tl  0.719  0.502  0.498
Pb  0.000  0.500  0.000
Pb  0.500  0.000  0.500

=====

# 5
First-principles (PBE) data for a relaxed RbSeS crystal, as listed in Alexandria via LeMat-Bulk.

Values from the calculation:
- SG: I4mm
- Raw formation energy: -109 kJ/mol of formula units
- Calculated volume: 28.5 A^3/atom
- Density: 3.81 g/cm³
- Distance to the lowest polymorph of the same formula: 0.263 eV per atom

a b c (Å): 6.458 6.458 6.458
angles (deg): 145.59 145.59 49.46
Fractional coordinates of all 3 atoms:
Rb  0.000  0.000  0.000
Se  0.272  0.272  0.000
S  0.736  0.736  0.000

=====

# 6
First-principles (PBE) data for a relaxed Cr2MoHIr crystal, as listed in Alexandria via LeMat-Bulk.

Values from the calculation:
- SG: P4/mmm
- Calculated volume: 11.2 A^3/atom
- Density: 11.62 g/cm³
- Distance to the lowest polymorph of the same formula: 0.042 eV per atom

a b c (Å): 3.851 3.851 3.790
angles (deg): 90.00 90.00 90.00
Fractional coordinates of all 5 atoms:
Cr  0.000  0.500  0.000
Cr  0.500  0.000  0.000
Mo  0.000  0.000  0.500
H  0.500  0.500  0.000
Ir  0.500  0.500  0.500

=====

# 7
First-principles (PBE) data for a relaxed CeY2Zr crystal, as listed in Alexandria via LeMat-Bulk.

Values from the calculation:
- SG: P4/mmm
- Calculated volume: 28.8 A^3/atom
- Density: 5.90 g/cm³
- ΔH_f (0 K): 0.123 eV/atom
- Distance to the lowest polymorph of the same formula: 0.018 eV per atom

a b c (Å): 4.801 4.801 4.996
angles (deg): 90.00 90.00 90.00
Fractional coordinates of all 4 atoms:
Ce  0.000  0.000  0.000
Y  0.000  0.500  0.500
Y  0.500  0.000  0.500
Zr  0.500  0.500  0.000

=====

# 8
First-principles (PBE) data for a relaxed Be2Si2S crystal, as listed in Alexandria via LeMat-Bulk.

Values from the calculation:
- SG: I4/mmm
- Raw formation energy: 194 kJ/mol of formula units
- Calculated volume: 13.6 A^3/atom
- Density: 2.59 g/cm³
- Distance to the lowest polymorph of the same formula: 0.000 eV per atom

a b c (Å): 6.658 6.658 6.658
angles (deg): 151.22 151.22 41.15
Fractional coordinates of all 5 atoms:
Be  0.095  0.095  0.000
Be  0.905  0.905  0.000
Si  0.250  0.750  0.500
Si  0.750  0.250  0.500
S  0.500  0.500  0.000

=====

# 9
First-principles (PBE) data for a relaxed TbCeSm2Dy5 crystal, as listed in Alexandria via LeMat-Bulk.

Values from the calculation:
- SG: I4/mcm
- Calculated volume: 31.9 A^3/atom
- Density: 8.16 g/cm³
- ΔH_f (0 K): 0.274 eV/atom

a b c (Å): 9.885 9.885 9.885
angles (deg): 128.53 128.53 75.78
Fractional coordinates of all 18 atoms:
Tb  0.250  0.250  0.000
Tb  0.750  0.750  0.000
Ce  0.250  0.750  0.500
Ce  0.750  0.250  0.500
Sm  0.121  0.621  0.742
Sm  0.379  0.121  0.500
Sm  0.621  0.879  0.500
Sm  0.879  0.379  0.258
Dy  0.000  0.000  0.000
Dy  0.061  0.158  0.500
Dy  0.158  0.658  0.097
Dy  0.342  0.439  0.500
Dy  0.439  0.939  0.097
Dy  0.500  0.500  0.000
Dy  0.561  0.061  0.903
Dy  0.658  0.561  0.500
Dy  0.842  0.342  0.903
Dy  0.939  0.842  0.500

=====

# 10
First-principles (PBE) data for a relaxed Lu2TaZn crystal, as listed in Alexandria via LeMat-Bulk.

Values from the calculation:
- SG: P4/mmm
- Calculated volume: 21.8 A^3/atom
- Density: 11.34 g/cm³
- ΔH_f (0 K): 0.003 eV/atom
- Distance to the lowest polymorph of the same formula: 0.000 eV per atom

a b c (Å): 3.246 3.246 8.286
angles (deg): 90.00 90.00 90.00
Fractional coordinates of all 4 atoms:
Lu  0.000  0.000  0.239
Lu  0.000  0.000  0.761
Ta  0.500  0.500  0.500
Zn  0.500  0.500  0.000

=====

# 11
First-principles (PBE) data for a relaxed ZrSc2SiN crystal, as listed in Alexandria via LeMat-Bulk.

Values from the calculation:
- SG: P4/mmm
- Raw formation energy: -488 kJ/mol of formula units
- Calculated volume: 16.7 A^3/atom
- Density: 4.44 g/cm³

a b c (Å): 4.295 4.295 4.521
angles (deg): 90.00 90.00 90.00
Fractional coordinates of all 5 atoms:
Zr  0.000  0.000  0.000
Sc  0.000  0.500  0.500
Sc  0.500  0.000  0.500
Si  0.500  0.500  0.000
N  0.000  0.000  0.500

=====

# 12
First-principles (PBE) data for a relaxed Ho2NpAl2Ru5 crystal, as listed in Alexandria via LeMat-Bulk.

Values from the calculation:
- SG: P4/mbm
- Calculated volume: 17.3 A^3/atom
- Density: 10.82 g/cm³
- ΔH_f (0 K): -0.456 eV/atom

a b c (Å): 10.158 10.158 3.351
angles (deg): 90.00 90.00 90.00
Fractional coordinates of all 20 atoms:
Ho  0.169  0.331  0.000
Ho  0.331  0.831  0.000
Ho  0.669  0.169  0.000
Ho  0.831  0.669  0.000
Np  0.000  0.000  0.000
Np  0.500  0.500  0.000
Al  0.127  0.627  0.000
Al  0.373  0.127  0.000
Al  0.627  0.873  0.000
Al  0.873  0.373  0.000
Ru  0.000  0.500  0.500
Ru  0.067  0.801  0.500
Ru  0.199  0.067  0.500
Ru  0.301  0.567  0.500
Ru  0.433  0.301  0.500
Ru  0.500  0.000  0.500
Ru  0.567  0.699  0.500
Ru  0.699  0.433  0.500
Ru  0.801  0.933  0.500
Ru  0.933  0.199  0.500

=====

> What is the formula in the seventh record?

CeY2Zr

=====

> Among the records above, which one has the highest density?

Cr2MoHIr

=====

> Which value of calculated volume does entry 5 give?

28.5 A^3/atom

=====

> What is the formula in the ninth record?

TbCeSm2Dy5